First-principles (GGA-PBEsol) data for a relaxed structure of Cs2Mo3SeO12, as listed in the Alexandria database.

extended XYZ file:
```
36
Lattice="7.2979 0.0000 0.0000 -3.6490 6.3202 0.0000 0.0000 0.0000 12.3860" Properties=species:S:1:pos:R:3 pbc="T T T"
O 5.9594 0.8229 9.5237
O 2.1836 1.2593 5.8051
O 0.0434 1.5707 3.3307
O -2.2706 5.5512 7.3302
O 3.6722 4.7420 1.1372
O 1.4654 5.0609 11.9981
O -1.3504 3.4646 1.7927
O -2.3104 5.4973 3.3307
O 2.3253 2.9017 7.9857
O 3.6478 3.7995 5.8051
O 1.3820 0.7477 9.5237
O 2.2670 5.5725 3.3307
O 1.3551 0.8092 1.1372
O 5.9196 0.7690 1.1372
O 2.2938 5.5110 7.3302
O 3.6223 0.5629 7.9857
O 5.1155 1.2614 5.8051
O 0.0012 2.5207 11.9981
O 4.9993 2.8556 7.9857
O 3.6055 4.7495 9.5237
O -1.4666 5.0588 11.9981
O 1.3237 3.4185 1.7927
O 0.0266 5.7573 1.7927
O -0.0232 1.5782 7.3302
Se 0.0000 0.0000 10.2508
Se 0.0000 0.0000 4.0578
Mo 5.3253 0.8670 7.4578
Mo 3.8845 4.1783 7.4578
Mo -1.6763 5.4532 1.2648
Mo 1.7372 1.2749 7.4578
Mo 1.9118 5.0453 1.2648
Mo -0.2355 2.1419 1.2648
Cs 0.0000 4.2135 9.5028
Cs 3.6490 2.1067 11.1119
Cs 0.0000 4.2135 4.9189
Cs 3.6490 2.1067 3.3097
```

Summary:
- N(E_F) (states/eV/f.u.) = 0.0
- calculated total energy (eV/atom) = -7.66
- formation energy (no corrections) (eV per atom) = -1.88

First-principles (GGA-PBEsol) data for a relaxed structure of CsMoP2, as listed in the Alexandria database.

extended XYZ file:
```
8
Lattice="-1.3616 -7.0765 0.6870 6.3392 2.2068 -2.8438 6.1147 -0.8086 3.7894" Properties=species:S:1:pos:R:3 pbc="T T T"
Mo 2.3766 -3.9426 2.2382
Mo 4.3579 -0.8679 -0.3028
P 9.5942 -1.7061 1.4405
P 3.3672 -2.4052 0.9677
P 2.6865 -5.9435 1.3112
P 6.5368 -1.3018 -0.4542
Cs 0.0000 0.0000 0.0000
Cs 6.7345 -4.8105 1.9354
```

Summary:
- N(E_F) (states/eV/f.u.) = 1.4
- formation enthalpy at 0 K (eV/f.u.) = -0.79
- calculated total energy (eV/atom) = -6.27

First-principles (GGA-PBEsol) data for a relaxed structure of CsMoPb2, as listed in the Alexandria database.

extended XYZ file:
```
4
Lattice="-2.6590 1.3314 -4.5587 2.5695 -0.1622 -4.7954 -1.2639 -3.8480 -3.6359" Properties=species:S:1:pos:R:3 pbc="T T T"
Pb -1.0150 -2.0092 -9.7425
Pb -0.3383 -0.6697 -3.2475
Mo 0.0000 0.0000 0.0000
Cs -0.6767 -1.3394 -6.4950
```

Summary:
- N(E_F) (states/eV/f.u.) = 2.7
- formation enthalpy at 0 K (eV/f.u.) = 4.11
- calculated total energy (eV/atom) = -4.15